A plane-wave DFT calculation with PBE was carried out for a relaxed Nd3Mg2Cd crystal.

Cell lengths 8.6567, 8.6567, 3.8876 Å; angles 90.00, 90.00, 143.21 degrees
With the nearest neighbours (Å) after each atom.
Atoms (fractional coordinates):
Nd1 0.0000 0.0000 0.0000  4 Cd 3.35, 4 Mg 3.40
Nd2 0.3344 0.6656 0.0000  6 Mg 3.33-3.35, 2 Cd 3.34
Nd3 0.6656 0.3344 0.0000  6 Mg 3.33-3.35, 2 Cd 3.34
Mg1 0.1696 0.8304 0.5000  8 Nd 3.33-3.40
Mg2 0.8304 0.1696 0.5000  8 Nd 3.33-3.40
Cd1 0.5000 0.5000 0.5000  8 Nd 3.34-3.35

Calculated values
Space group: Cmmm, No. 65
Spin magnetization (μB per cell): 0.00
Distance to the lowest polymorph of the same formula (meV per atom): 0
Mass density (Mg/m³): 5.65
Formation energy from the elements (eV per formula unit): -1.1